# InCuAs2Br (meta-GGA SCAN, single point on PBEsol structure)
data_InCuAs2Br
_chemical_formula_sum 'In1 Cu1 As2 Br1'
_space_group_name_H-M_alt 'P 4/m m m'
_space_group_IT_number 123
_space_group_name_Hall '-P 4 2'
_cell_length_a 5.1701
_cell_length_b 5.1701
_cell_length_c 5.3672
_cell_angle_alpha 90.00
_cell_angle_beta 90.00
_cell_angle_gamma 90.00
loop_
_atom_site_label
_atom_site_fract_x
_atom_site_fract_y
_atom_site_fract_z
In1 0.0000 0.0000 0.0000
Cu1 0.5000 0.5000 0.5000
As1 0.0000 0.5000 0.0000
Br1 0.0000 0.0000 0.5000
# N(E_F) in states/eV per cell: 3.1
# Formation energy from raw total energies in eV/atom: 0.9794